5
Lattice="5.2470 0.0000 0.0000 0.0000 5.2470 0.0000 0.0000 0.0000 4.2780" Properties=species:S:1:pos:R:3 comment="YHRu2N (GGA-PBE, relaxed)" e_tot_ev_per_atom=-4.946 total_magnetization_mub_per_atom=1.054 pbc="T T T"
Ru 0.0000 2.6235 0.0000
Ru 2.6235 0.0000 0.0000
Y 0.0000 0.0000 0.0000
H 2.6235 2.6235 2.1390
N 0.0000 0.0000 2.1390

12
Lattice="-2.3152 1.3543 -2.3359 -2.4512 0.2361 2.5664 3.3907 9.8236 2.3349" Properties=species:S:1:pos:R:3 comment="GaFe2Ni9 (GGA-PBE, relaxed)" e_tot_ev_per_atom=-6.158 total_magnetization_mub_per_atom=0.863 e_form_ev_per_atom=-0.159 pbc="T T T"
Fe 1.1310 3.2767 0.7788
Fe 2.2597 6.5469 1.5561
Ni -0.1276 7.3303 1.6685
Ni 0.5377 5.5890 -0.0005
Ni -0.6453 1.7993 1.6828
Ni -0.5773 2.3584 -0.7683
Ni -1.2482 4.0837 0.8969
Ni 1.6528 8.8195 0.7673
Ni 0.4697 5.0298 2.4506
Ni -2.3832 0.7952 0.1153
Ni 1.5848 8.2604 3.2185
Ga 0.0000 0.0000 0.0000

10
Lattice="-4.6578 -3.7376 -5.8196 3.6595 -3.9170 -6.3873 -0.2110 -8.3233 -0.4596" Properties=species:S:1:pos:R:3 comment="Ac3TmTl6 (GGA-PBE, relaxed)" e_tot_ev_per_atom=-2.830 total_magnetization_mub_per_atom=0.000 e_form_ev_per_atom=0.269 pbc="T T T"
Ac -0.6046 -7.9889 -6.3332
Ac -0.3023 -3.9945 -3.1666
Ac -0.9069 -11.9834 -9.4999
Tm 0.0000 0.0000 0.0000
Tl 1.5028 -10.1994 -6.6003
Tl 1.6125 -5.8718 -6.3613
Tl -0.8093 -7.8151 -9.3872
Tl -0.3999 -8.1628 -3.2793
Tl -2.8217 -10.1061 -6.3052
Tl -2.7120 -5.7785 -6.0662

4
Lattice="-1.7417 2.8077 1.0233 -3.5528 -1.3181 -2.4307 -1.6164 -2.3229 3.6221" Properties=species:S:1:pos:R:3 comment="MgNbReSn (GGA-PBE, relaxed)" e_tot_ev_per_atom=-6.855 total_magnetization_mub_per_atom=0.000 e_form_ev_per_atom=0.174 pbc="T T T"
Mg -0.8082 -1.1614 1.8111
Nb -1.7764 -0.6590 -1.2154
Re -0.8709 1.4038 0.5117
Sn -3.4555 -0.4166 1.1074

12
Lattice="7.1102 0.0000 0.0000 0.0000 7.4836 0.0000 -3.5551 -3.7418 7.2121" Properties=species:S:1:pos:R:3 comment="Tb3TmHg2 (GGA-PBE, relaxed)" e_tot_ev_per_atom=-3.253 total_magnetization_mub_per_atom=0.000 e_form_ev_per_atom=-0.093 pbc="T T T"
Tb 3.5551 5.6127 0.0000
Tb 3.5551 1.8709 0.0000
Tb 0.0000 1.8709 3.2888
Tb 3.5551 -1.8709 3.9233
Tb 0.0000 5.6127 3.2888
Tb 3.5551 1.8709 3.9233
Tm 0.0000 0.0000 0.0000
Tm 0.0000 3.7418 0.0000
Hg 4.9928 0.0000 2.0043
Hg 2.1174 3.7418 2.0043
Hg -1.4377 3.7418 5.2078
Hg 1.4377 0.0000 5.2078

24
Lattice="10.5428 0.0000 0.0000 -5.2714 9.1304 0.0000 0.0000 0.0000 17.2401" Properties=species:S:1:pos:R:3 comment="Cs8AgAu3 (GGA-PBE, relaxed)" e_tot_ev_per_atom=-1.786 total_magnetization_mub_per_atom=0.034 e_form_ev_per_atom=-0.160 pbc="T T T"
Cs 0.0000 6.0869 1.7358
Cs 7.8012 4.5040 14.4264
Cs 0.0000 0.0000 14.3226
Cs -2.7117 7.6525 10.2983
Cs 7.9831 1.4779 1.6782
Cs 5.2714 6.1747 1.6782
Cs 2.7417 4.5040 14.4264
Cs -2.5297 4.6264 5.8063
Cs 2.5297 4.6264 5.8063
Cs 5.2714 3.0435 10.3558
Cs 0.0000 0.0000 5.7026
Cs 5.2714 0.1224 14.4264
Cs 2.5597 1.4779 1.6782
Cs 0.0000 9.0080 5.8063
Cs 2.7117 7.6525 10.2983
Cs 0.0000 2.9557 10.2983
Au 0.0000 3.0496 3.7234
Au 2.6304 7.6056 3.7234
Au -2.6304 7.6056 3.7234
Au 2.6410 1.5248 12.3435
Au 5.2714 6.0808 12.3435
Au 7.9018 1.5248 12.3435
Ag 5.2714 3.0435 16.8148
Ag 0.0000 6.0869 8.1948

12
Lattice="3.5863 0.0000 0.0000 0.0000 8.4830 1.8365 0.0000 -1.3469 6.0516" Properties=species:S:1:pos:R:3 comment="CaNdPaN3 (GGA-PBE, relaxed)" e_tot_ev_per_atom=-8.333 total_magnetization_mub_per_atom=0.000 raw_formation_energy_mev_per_atom=-1459 pbc="T T T"
Pa 0.8966 5.6049 1.7588
Pa 2.6897 1.5312 6.1293
Nd 0.8966 2.2591 3.1443
Nd 2.6897 4.8770 4.7438
Ca 0.8966 7.4781 6.3482
Ca 2.6897 -0.3420 1.5399
N 2.6897 0.6923 4.0222
N 2.6897 4.0385 2.2586
N 0.8966 1.5258 0.7068
N 0.8966 6.4437 3.8659
N 0.8966 3.0975 5.6295
N 2.6897 5.6103 7.1813

4
Lattice="-1.6088 10.3061 4.1969 -0.6579 8.2549 7.6054 2.3118 9.7008 5.1930" Properties=species:S:1:pos:R:3 comment="LaHgBr2 (GGA-PBE, relaxed)" e_tot_ev_per_atom=-3.423 total_magnetization_mub_per_atom=0.001 raw_formation_energy_mev_per_atom=-1279 pbc="T T T"
Hg 0.0113 7.0654 4.2488
Br 0.0011 0.7102 0.4271
Br 0.0214 13.4207 8.0705
La 0.0338 21.1963 12.7464

8
Lattice="-2.9271 -5.5782 -3.7962 4.2058 -4.7441 3.7282 -1.2682 -5.4096 1.8019" Properties=species:S:1:pos:R:3 comment="AgIrW2 (GGA-PBE, relaxed)" e_tot_ev_per_atom=-8.535 total_magnetization_mub_per_atom=0.000 e_form_ev_per_atom=0.870 pbc="T T T"
W -1.7377 -5.6547 -1.6078
W 0.3358 -13.2788 1.4409
W -0.6397 -7.7385 1.1770
W 2.0627 -4.7919 2.4578
Ag 1.7885 -7.6574 2.7481
Ag 0.6394 -5.1612 -0.0340
Ir -1.7780 -8.0745 -1.0141
Ir 0.0000 0.0000 0.0000

4
Lattice="5.2403 0.0000 0.0000 2.6202 4.5383 0.0000 2.6202 1.5128 4.2787" Properties=species:S:1:pos:R:3 comment="LiLaHoAu (GGA-PBE, relaxed)" e_tot_ev_per_atom=-4.026 total_magnetization_mub_per_atom=0.000 e_form_ev_per_atom=-0.352 pbc="T T T"
La 0.0000 0.0000 0.0000
Li 7.8605 4.5383 3.2090
Ho 5.2403 3.0255 2.1394
Au 2.6202 1.5128 1.0697

5
Lattice="-2.3019 3.6251 -0.4420 -0.7131 0.0663 4.2571 3.9947 2.6132 0.6285" Properties=species:S:1:pos:R:3 comment="Li2LaAsO (GGA-PBE, relaxed)" e_tot_ev_per_atom=-5.341 total_magnetization_mub_per_atom=0.000 raw_formation_energy_mev_per_atom=-1668 pbc="T T T"
O 0.0000 0.0000 0.0000
Li -1.1509 1.8126 -0.2210
Li -0.3566 0.0331 2.1285
As 0.4899 3.1523 2.2218
La 1.9974 1.3066 0.3143

4
Lattice="-4.4479 -0.4026 -2.6761 -3.3745 -3.8044 1.1164 -4.5325 1.1321 2.2983" Properties=species:S:1:pos:R:3 comment="CaAcGaIr (GGA-PBE, relaxed)" e_tot_ev_per_atom=-4.863 total_magnetization_mub_per_atom=0.000 e_form_ev_per_atom=-0.364 pbc="T T T"
Ir -9.2662 -2.3062 0.5540
Ga -3.0887 -0.7687 0.1847
Ca 0.0000 0.0000 0.0000
Ac -6.1775 -1.5375 0.3693